A geometry-optimized Cd2Ru structure. Source: Alexandria via LeMat-Bulk, functional PBE.

## Properties
* DFT formation energy: 0.34 eV per atom
* total magnetization: 0.62 μB per formula unit
* crystal system: orthorhombic

Lattice parameters (Å, degrees): 5.127 5.127 5.127 146.91 131.94 59.59
Element x y z (fractional)
Cd 0.994 0.994 0.000
Cd 0.672 0.672 0.000
Ru 0.333 0.333 0.000


A geometry-optimized ZrBe structure. Source: Alexandria via LeMat-Bulk, functional PBE.

## Properties
* DFT formation energy: 0.25 eV per atom
* total magnetization: 0.00 μB per formula unit
* crystal system: tetragonal

Lattice parameters (Å, degrees): 5.050 5.050 5.220 90.00 90.00 90.00
Element x y z (fractional)
Zr 0.184 0.184 0.000
Zr 0.684 0.316 0.500
Zr 0.316 0.684 0.500
Zr 0.816 0.816 0.000
Be 0.343 0.657 0.000
Be 0.843 0.843 0.500
Be 0.157 0.157 0.500
Be 0.657 0.343 0.000


Repeat the second record exactly.
A geometry-optimized ZrBe structure. Source: Alexandria via LeMat-Bulk, functional PBE.

## Properties
* DFT formation energy: 0.25 eV per atom
* total magnetization: 0.00 μB per formula unit
* crystal system: tetragonal

Lattice parameters (Å, degrees): 5.050 5.050 5.220 90.00 90.00 90.00
Element x y z (fractional)
Zr 0.184 0.184 0.000
Zr 0.684 0.316 0.500
Zr 0.316 0.684 0.500
Zr 0.816 0.816 0.000
Be 0.343 0.657 0.000
Be 0.843 0.843 0.500
Be 0.157 0.157 0.500
Be 0.657 0.343 0.000